[1]
Here is a relaxed structure of TlOs2I from the Alexandria database. Energies are from PBE.

The structure belongs to space group I-42d (No. 122); the cell edges are 6.272, 6.272 and 10.841 Å and the angles 90.00°, 90.00° and 90.00°. The distinct sites, in fractional coordinates, are Tl at (0.000, 0.000, 0.000), Os at (0.224, 0.250, 0.625) and I at (0.000, 0.000, 0.500).

The uncorrected formation energy is 1.863 eV/atom. As for the crystal system: tetragonal.

[2]
Here is a relaxed structure of Tl3OsI from the Alexandria database. Energies are from PBE.

The structure belongs to space group Pm-3m (No. 221); the cell edges are 5.382, 5.382 and 5.382 Å and the angles 90.00°, 90.00° and 90.00°. The distinct sites, in fractional coordinates, are Tl at (0.000, 0.000, 0.500), Os at (0.000, 0.000, 0.000) and I at (0.500, 0.500, 0.500).

The uncorrected formation energy is 0.223 eV/atom. As for the crystal system: cubic.

[3]
Here is a relaxed structure of Tl2Os2I from the Alexandria database. Energies are from PBE.

The structure belongs to space group I4/mmm (No. 139); the cell edges are 3.539, 3.539 and 22.308 Å and the angles 90.00°, 90.00° and 90.00°. The distinct sites, in fractional coordinates, are Tl at (0.000, 0.000, 0.130), Os at (0.000, 0.500, 0.250) and I at (0.000, 0.000, 0.500).

The uncorrected formation energy is 0.696 eV/atom. As for the crystal system: tetragonal.

[4]
Here is a relaxed structure of Tl2Os2I from the Alexandria database. Energies are from PBE.

The structure belongs to space group P4/mbm (No. 127); the cell edges are 9.367, 9.367 and 2.876 Å and the angles 90.00°, 90.00° and 90.00°. The distinct sites, in fractional coordinates, are Tl at (0.193, 0.307, 0.000), Os at (0.085, 0.585, 0.500) and I at (0.000, 0.000, 0.000).

The uncorrected formation energy is 1.086 eV/atom. As for the crystal system: tetragonal.

[5]
Here is a relaxed structure of YTl2OsI from the Alexandria database. Energies are from PBE.

The structure belongs to space group P4/mmm (No. 123); the cell edges are 6.058, 6.058 and 5.707 Å and the angles 90.00°, 90.00° and 90.00°. The distinct sites, in fractional coordinates, are Y at (0.000, 0.000, 0.000), Tl at (0.000, 0.500, 0.000), Os at (0.500, 0.500, 0.500) and I at (0.000, 0.000, 0.500).

The uncorrected formation energy is 1.386 eV/atom. As for the crystal system: tetragonal.

[6]
Here is a relaxed structure of YTl2OsI from the Alexandria database. Energies are from PBE.

The structure belongs to space group P4/mmm (No. 123); the cell edges are 5.961, 5.961 and 5.646 Å and the angles 90.00°, 90.00° and 90.00°. The distinct sites, in fractional coordinates, are Y at (0.000, 0.000, 0.000), Tl at (0.000, 0.500, 0.500), Os at (0.500, 0.500, 0.000) and I at (0.000, 0.000, 0.500).

The uncorrected formation energy is 1.559 eV/atom. As for the crystal system: tetragonal.

[7]
Here is a relaxed structure of TlZnOsI2 from the Alexandria database. Energies are from PBE.

The structure belongs to space group P4/mmm (No. 123); the cell edges are 5.570, 5.570 and 5.523 Å and the angles 90.00°, 90.00° and 90.00°. The distinct sites, in fractional coordinates, are Tl at (0.000, 0.000, 0.000), Zn at (0.000, 0.000, 0.500), Os at (0.500, 0.500, 0.000) and I at (0.000, 0.500, 0.500).

The uncorrected formation energy is 1.291 eV/atom. As for the crystal system: tetragonal.

[8]
Here is a relaxed structure of Tm2OsI from the Alexandria database. Energies are from PBE.

The structure belongs to space group P4/mmm (No. 123); the cell edges are 3.441, 3.441 and 8.344 Å and the angles 90.00°, 90.00° and 90.00°. The distinct sites, in fractional coordinates, are Tm at (0.000, 0.000, 0.195), Os at (0.500, 0.500, 0.000) and I at (0.500, 0.500, 0.500).

The uncorrected formation energy is -0.477 eV/atom. As for the crystal system: tetragonal.

These records have V values of 426.4; 155.9; 279.3; 252.3; 209.5; 200.6; 171.4; 98.8 Å³/cell, in the order they appear.